# 1
DyZrPt4: relaxed, PBE.

Lattice parameters (Å, degrees): 7.612 7.612 7.612 90.00 90.00 90.00
Space group F-43m (No. 216)
One atom of each set of equivalent atoms:
Dy 0.000 0.000 0.000 [4 per cell]
Zr 0.250 0.250 0.250 [4 per cell]
Pt 0.125 0.125 0.625 [16 per cell]

# 2
DyZrPt: relaxed, PBE.

Lattice parameters (Å, degrees): 4.713 12.314 7.133 90.00 90.00 90.00
Space group Amm2 (No. 38)
One atom of each set of equivalent atoms:
Dy 0.000 0.000 0.000 [2 per cell]
Dy 0.000 0.206 0.381 [4 per cell]
Zr 0.500 0.000 0.333 [2 per cell]
Zr 0.500 0.127 0.714 [4 per cell]
Pt 0.000 0.000 0.588 [2 per cell]
Pt 0.500 0.167 0.087 [4 per cell]

# 3
DyZr2Pt9: relaxed, PBE.

Lattice parameters (Å, degrees): 4.076 4.076 12.227 90.00 90.00 90.00
Space group P4/mmm (No. 123)
One atom of each set of equivalent atoms:
Dy 0.000 0.000 0.000 [1 per cell]
Zr 0.000 0.000 0.333 [2 per cell]
Pt 0.000 0.500 0.173 [4 per cell]
Pt 0.000 0.500 0.500 [2 per cell]
Pt 0.500 0.500 0.000 [1 per cell]
Pt 0.500 0.500 0.337 [2 per cell]

# 4
DyZrPt: relaxed, PBE.

Lattice parameters (Å, degrees): 5.401 4.625 5.970 90.00 106.89 90.00
Space group P2_1/m (No. 11)
One atom of each set of equivalent atoms:
Dy 0.072 0.250 0.253 [2 per cell]
Zr 0.450 0.250 0.829 [2 per cell]
Pt 0.367 0.750 0.573 [2 per cell]

# 5
Dy2ZrPt: relaxed, PBE.

Lattice parameters (Å, degrees): 3.521 3.521 7.788 90.00 90.00 90.00
Space group P4/mmm (No. 123)
One atom of each set of equivalent atoms:
Dy 0.000 0.000 0.216 [2 per cell]
Zr 0.500 0.500 0.500 [1 per cell]
Pt 0.500 0.500 0.000 [1 per cell]

# 6
DyZrPt2: relaxed, PBE.

Lattice parameters (Å, degrees): 3.410 3.410 6.981 90.00 90.00 90.00
Space group P4/mmm (No. 123)
One atom of each set of equivalent atoms:
Dy 0.000 0.000 0.000 [1 per cell]
Zr 0.000 0.000 0.500 [1 per cell]
Pt 0.500 0.500 0.279 [2 per cell]

# 7
DyZrPt: relaxed, PBE.

Lattice parameters (Å, degrees): 3.464 3.464 11.145 90.00 90.00 90.00
Space group I4mm (No. 107)
One atom of each set of equivalent atoms:
Dy 0.000 0.000 0.000 [2 per cell]
Zr 0.000 0.000 0.701 [2 per cell]
Pt 0.000 0.000 0.332 [2 per cell]

# 8
Dy2Zr3Pt4: relaxed, PBE.

Lattice parameters (Å, degrees): 7.049 7.819 7.416 90.00 109.99 90.00
Space group P2_1/c (No. 14)
One atom of each set of equivalent atoms:
Dy 0.193 0.174 0.070 [4 per cell]
Zr 0.251 0.664 0.253 [4 per cell]
Zr 0.500 0.000 0.500 [2 per cell]
Pt 0.087 0.547 0.859 [4 per cell]
Pt 0.498 0.131 0.869 [4 per cell]

# 9
DyZrPt2: relaxed, PBE.

Lattice parameters (Å, degrees): 5.516 4.417 7.229 90.00 108.78 90.00
Space group P2_1/m (No. 11)
One atom of each set of equivalent atoms:
Dy 0.223 0.250 0.429 [2 per cell]
Zr 0.215 0.250 0.932 [2 per cell]
Pt 0.310 0.750 0.182 [2 per cell]
Pt 0.327 0.750 0.729 [2 per cell]

# 10
Dy2ZrPt9: relaxed, PBE.

Lattice parameters (Å, degrees): 4.096 4.096 12.294 90.00 90.00 90.00
Space group P4/mmm (No. 123)
One atom of each set of equivalent atoms:
Dy 0.000 0.000 0.167 [2 per cell]
Zr 0.000 0.000 0.500 [1 per cell]
Pt 0.000 0.500 0.000 [2 per cell]
Pt 0.000 0.500 0.340 [4 per cell]
Pt 0.500 0.500 0.170 [2 per cell]
Pt 0.500 0.500 0.500 [1 per cell]

# 11
Dy2Pu: relaxed, PBE.

Lattice parameters (Å, degrees): 3.495 3.495 14.792 90.00 90.00 90.00
Space group I4/mmm (No. 139)
One atom of each set of equivalent atoms:
Dy 0.000 0.000 0.164 [4 per cell]
Pu 0.000 0.000 0.500 [2 per cell]

# 12
Dy5Pu: relaxed, PBE.

Lattice parameters (Å, degrees): 11.700 3.503 9.940 90.00 115.39 90.00
Space group C2/m (No. 12)
One atom of each set of equivalent atoms:
Dy 0.000 0.000 0.000 [2 per cell]
Dy 0.165 0.500 0.337 [4 per cell]
Dy 0.166 0.500 0.829 [4 per cell]
Pu 0.000 0.000 0.500 [2 per cell]

Number 1: DFT total energy -7.1550 eV/atom, E_form -0.936 eV/atom. Number 2: DFT total energy -7.2330 eV/atom, E_form -0.836 eV/atom. Number 3: DFT total energy -7.3954 eV/atom, E_form -1.057 eV/atom. Number 4: DFT total energy -7.1012 eV/atom, E_form -0.704 eV/atom. Number 5: DFT total energy -6.4973 eV/atom, E_form -0.549 eV/atom. Number 6: DFT total energy -7.3702 eV/atom, E_form -1.062 eV/atom. Number 7: DFT total energy -7.0697 eV/atom, E_form -0.673 eV/atom. Number 8: DFT total energy -7.5960 eV/atom, E_form -1.039 eV/atom. Number 9: DFT total energy -7.4801 eV/atom, E_form -1.172 eV/atom. Number 10: DFT total energy -7.0655 eV/atom, E_form -1.056 eV/atom. Number 11: DFT total energy -7.7361 eV/atom, E_form 0.109 eV/atom. Number 12: DFT total energy -6.1605 eV/atom, E_form 0.063 eV/atom.